# 1
{"formula": "Tb2Bi3Rh4", "functional": "PBE", "state": "optimized geometry", "lattice_angstrom": [[-2.2360, -0.1842, -5.7909], [6.2152, -3.2531, -2.2964], [-2.2724, -7.4796, 4.4455]], "species": ["Bi", "Tb", "Rh", "Tb", "Rh", "Bi", "Bi", "Rh", "Rh", "Tb", "Rh", "Rh", "Rh", "Bi", "Bi", "Tb", "Bi", "Rh"], "frac_coords": [[0.5000, 0.5000, 0.0000], [0.0974, 0.5914, 0.1949], [0.1613, 0.9741, 0.3226], [0.4026, 0.0914, 0.8051], [0.8387, 0.0259, 0.6774], [0.0115, 0.7500, 0.5231], [0.9885, 0.2500, 0.4769], [0.6613, 0.5259, 0.3226], [0.6782, 0.7500, 0.8564], [0.5974, 0.9086, 0.1949], [0.3218, 0.2500, 0.1436], [0.3387, 0.4741, 0.6774], [0.1782, 0.7500, 0.8564], [0.5115, 0.7500, 0.5231], [0.0000, 0.0000, 0.0000], [0.9026, 0.4086, 0.8051], [0.4885, 0.2500, 0.4769], [0.8218, 0.2500, 0.1436]], "final_energy_ev_per_atom": -6.07, "sg": "No. 64", "delta_e_f_ev_per_atom": -0.48, "n_ef_per_ev_atom": 0.5664}

# 2
{"formula": "InAg2Cl", "functional": "PBE", "state": "optimized geometry", "lattice_angstrom": [[-4.1369, 1.2132, -2.3596], [-0.8049, -4.7386, -1.0252], [-1.8413, -0.3471, 3.0497]], "species": ["Ag", "Ag", "In", "Cl"], "frac_coords": [[0.5000, 0.5000, 0.0000], [0.0000, 0.0000, 0.0000], [0.0000, 0.5000, 0.5000], [0.5000, 0.0000, 0.5000]], "final_energy_ev_per_atom": -2.52, "e_form_raw_kj_per_mol_atoms": 4.8, "sg": "No. 123", "n_ef_per_ev_atom": 0.2947}

# 3
{"formula": "Sr2Al3Cd5", "functional": "PBE", "state": "optimized geometry", "lattice_angstrom": [[-3.7136, -2.1832, 1.5710], [0.7640, -3.4241, -2.9525], [6.8053, -5.6192, 8.2777]], "species": ["Sr", "Cd", "Cd", "Cd", "Cd", "Al", "Sr", "Cd", "Al", "Al"], "frac_coords": [[0.5000, 0.0000, 0.2689], [0.5000, 0.0000, 0.8473], [0.0000, 0.0000, 0.0000], [0.0000, 0.5000, 0.1527], [0.5000, 0.5000, 0.5000], [0.0000, 0.5000, 0.3752], [0.0000, 0.5000, 0.7311], [0.5000, 0.5000, 0.0000], [0.0000, 0.0000, 0.5000], [0.5000, 0.0000, 0.6248]], "final_energy_ev_per_atom": -2.14, "sg": "No. 115", "delta_e_f_ev_per_atom": -0.22, "n_ef_per_ev_atom": 0.6096}